# 1
PuThS2: relaxed, PBE.

Output
energy relative to the elements, uncorrected = -1.825 eV per atom
space group = R-3m
E = -9.33 eV/atom
spin magnetization = 1.36 μB per atom

Lattice parameters (Å, degrees): 3.974 3.974 6.962 73.42 73.42 60.00
Last column: magnetic moment on the atom in μB.
Element x y z (fractional)
S 0.746 0.746 0.762  -0.06
S 0.254 0.254 0.238  -0.06
Th 0.500 0.500 0.500  -0.01
Pu 0.000 0.000 0.000  5.25

***

# 2
Pu3Th5S8: relaxed, PBE.

Output
energy relative to the elements, uncorrected = -1.831 eV per atom
space group = R-3m
E = -8.90 eV/atom
spin magnetization = 1.02 μB per atom

Lattice parameters (Å, degrees): 7.970 7.970 8.056 60.35 60.35 60.00
Last column: magnetic moment on the atom in μB.
Element x y z (fractional)
Pu 0.500 0.000 0.500  5.26
Pu 0.000 0.000 0.500  5.26
Pu 0.000 0.500 0.500  5.26
Th 0.500 0.000 0.000  -0.04
Th 0.500 0.500 0.000  -0.04
Th 0.000 0.000 0.000  0.03
Th 0.000 0.500 0.000  -0.04
Th 0.500 0.500 0.500  0.04
S 0.250 0.250 0.742  -0.04
S 0.250 0.758 0.742  -0.04
S 0.758 0.250 0.742  -0.04
S 0.754 0.754 0.738  -0.06
S 0.750 0.750 0.258  -0.04
S 0.750 0.242 0.258  -0.04
S 0.242 0.750 0.258  -0.04
S 0.246 0.246 0.262  -0.06

***

# 3
PuTh2S4: relaxed, PBE.

Output
energy relative to the elements, uncorrected = -1.769 eV per atom
space group = Cmcm
E = -8.30 eV/atom
spin magnetization = 0.85 μB per atom

Lattice parameters (Å, degrees): 3.956 7.008 13.104 90.00 90.00 106.39
Last column: magnetic moment on the atom in μB.
Element x y z (fractional)
Pu 0.623 0.246 0.750  5.43
Pu 0.377 0.754 0.250  5.43
Th 0.134 0.268 0.432  0.10
Th 0.866 0.732 0.932  0.10
Th 0.134 0.268 0.068  0.10
Th 0.866 0.732 0.568  0.10
S 0.773 0.546 0.129  -0.04
S 0.773 0.546 0.371  -0.04
S 0.227 0.454 0.871  -0.04
S 0.227 0.454 0.629  -0.04
S 0.973 0.945 0.750  -0.04
S 0.027 0.055 0.250  -0.04
S 0.500 0.000 0.000  -0.01
S 0.500 0.000 0.500  -0.01

***

# 4
PuTh2S4: relaxed, PBE.

Output
energy relative to the elements, uncorrected = -1.834 eV per atom
space group = I-42d
E = -8.36 eV/atom
spin magnetization = 0.81 μB per atom

Lattice parameters (Å, degrees): 7.329 7.329 7.329 109.54 109.34 109.54
Last column: magnetic moment on the atom in μB.
Element x y z (fractional)
Pu 0.750 0.500 0.250  5.36
Pu 0.000 0.000 0.000  5.36
Th 0.375 0.872 0.747  0.03
Th 0.497 0.372 0.625  0.03
Th 0.875 0.128 0.503  0.03
Th 0.253 0.628 0.125  0.03
S 0.780 0.253 0.878  -0.03
S 0.970 0.598 0.723  -0.03
S 0.626 0.747 0.527  -0.03
S 0.124 0.402 0.372  -0.03
S 0.473 0.098 0.220  -0.03
S 0.628 0.753 0.030  -0.03
S 0.277 0.247 0.876  -0.03
S 0.122 0.902 0.374  -0.03